MnCd2GeO6 | GGA+U | optimized geometry

Lattice parameters (Å, degrees): 4.7188 5.1216 5.1216 90.00 90.00 90.00
Element x y z (fractional)
1 O 0.2149 0.5000 0.5000
2 Mn 0.5991 0.5000 0.5000
3 Cd 0.0283 0.5000 0.0000
4 O 0.7000 0.2466 0.7534
5 Ge 0.5761 0.0000 0.0000
6 O 0.7000 0.7534 0.7534
7 O 0.2001 0.0000 0.0000
8 O 0.7000 0.7534 0.2466
9 Cd 0.0283 0.0000 0.5000
10 O 0.7000 0.2466 0.2466

Magnetization (μB/cell): 3.0
Raw total energy (Ha/atom): -0.202